[1]
A plane-wave DFT calculation with PBE was carried out for a geometry-optimized Ba2SnBiO structure.

## Properties
SG	P4/mmm
calculated total energy	-19.57	eV per cell
formation energy (no corrections)	-0.577	eV/atom
relative energy among the computed polymorphs	633	meV per atom

Geometry as POSCAR:
```
Ba2SnBiO
1.0
6.641 0.000 0.000
0.000 6.641 0.000
0.000 0.000 4.277
Ba Sn Bi O
2 1 1 1
Direct
0.000 0.500 0.000
0.500 0.000 0.000
0.000 0.000 0.000
0.500 0.500 0.500
0.000 0.000 0.500
```

***

[2]
A plane-wave DFT calculation with PBE was carried out for a geometry-optimized Ba4Sn3BiO12 structure.

## Properties
SG	Im-3m
calculated total energy	-124.27	eV per cell
formation energy (no corrections)	-2.060	eV/atom

Geometry as POSCAR:
```
Ba4Sn3BiO12
1.0
-4.256 4.256 4.256
4.256 -4.256 4.256
4.256 4.256 -4.256
Ba Sn Bi O
4 3 1 12
Direct
0.000 0.000 0.500
0.000 0.500 0.000
0.500 0.000 0.000
0.500 0.500 0.500
0.000 0.500 0.500
0.500 0.000 0.500
0.500 0.500 0.000
0.000 0.000 0.000
0.000 0.258 0.258
0.000 0.742 0.742
0.250 0.500 0.750
0.250 0.750 0.500
0.258 0.000 0.258
0.258 0.258 0.000
0.500 0.250 0.750
0.500 0.750 0.250
0.742 0.000 0.742
0.742 0.742 0.000
0.750 0.250 0.500
0.750 0.500 0.250
```

***

Result set for total moment: 0.00, 0.00 μB/f.u., one per record in the order listed.